A plane-wave DFT calculation with GGA+U was carried out for a geometry-optimized K2TiMoO structure.

Computed properties:
DFT total energy = -3.011 eV/atom
symmetry = P4/mmm, No. 123

a b c (Å): 6.517 6.517 4.885
angles (deg): 90.00 90.00 90.00
Fractional positions:
K 0.000 0.500 0.000
K 0.500 0.000 0.000
Ti 0.000 0.000 0.000
Mo 0.000 0.000 0.500
O 0.500 0.500 0.500